No. 1
Entry from Alexandria: SmEuSbAu after structural relaxation (PBE-GGA).

Results
total energy	-6.437	eV/atom

a = 5.367 Å, b = 5.367 Å, c = 5.367 Å
α = 60.00°, β = 60.00°, γ = 60.00°
Last column: magnetic moment on the atom in μB.
Sites, in units of the cell vectors:
Eu: 0.750 0.750 0.750  6.92
Sb: 0.500 0.500 0.500  -0.05
Au: 0.000 0.000 0.000  0.04
Sm: 0.250 0.250 0.250  0.31

---

No. 2
Entry from Alexandria: Pu2VHg after structural relaxation (PBE-GGA).

Results
energy above the most stable polymorph in this dataset	24.4	kJ/mol of atoms
ΔE_f	9.3	kcal/mol of atoms

a = 3.147 Å, b = 3.147 Å, c = 11.086 Å
α = 81.84°, β = 81.84°, γ = 60.00°
Last column: magnetic moment on the atom in μB.
Sites, in units of the cell vectors:
V: 0.500 0.500 0.500  -1.21
Hg: 0.000 0.000 0.000  0.02
Pu: 0.098 0.098 0.705  5.26
Pu: 0.902 0.902 0.295  5.26

---

No. 3
Entry from Alexandria: Pm2DyHo5In after structural relaxation (PBE-GGA).

Results
ΔE_f	-0.3	kcal/mol of atoms

a = 5.356 Å, b = 10.429 Å, c = 10.505 Å
α = 90.00°, β = 90.00°, γ = 104.88°
Sites, in units of the cell vectors:
Pm: 0.884 0.767 0.799
Pm: 0.116 0.233 0.717
Pm: 0.116 0.233 0.299
Pm: 0.884 0.767 0.217
Dy: 0.792 0.584 0.508
Dy: 0.208 0.416 0.008
Ho: 0.384 0.768 0.008
Ho: 0.711 0.421 0.810
Ho: 0.500 0.000 0.758
Ho: 0.289 0.579 0.706
Ho: 0.988 0.976 0.508
Ho: 0.616 0.232 0.508
Ho: 0.289 0.579 0.310
Ho: 0.500 0.000 0.258
Ho: 0.711 0.421 0.206
Ho: 0.012 0.024 0.008
In: 0.595 0.191 0.008
In: 0.405 0.809 0.508

---

No. 4
Entry from Alexandria: AlSe3S after structural relaxation (PBE-GGA).

Results
energy above the most stable polymorph in this dataset	0.0	kJ/mol of atoms

a = 4.843 Å, b = 4.843 Å, c = 4.843 Å
α = 90.00°, β = 90.00°, γ = 90.00°
Sites, in units of the cell vectors:
S: 0.500 0.500 0.500
Al: 0.000 0.000 0.000
Se: 0.000 0.500 0.000
Se: 0.000 0.000 0.500
Se: 0.500 0.000 0.000

---

No. 5
Entry from Alexandria: KTeAu2 after structural relaxation (PBE-GGA).

Results
total energy	-2.848	eV/atom

a = 2.987 Å, b = 4.682 Å, c = 8.293 Å
α = 90.00°, β = 90.00°, γ = 90.00°
Sites, in units of the cell vectors:
Au: 0.000 0.000 0.120
Au: 0.500 0.500 0.130
K: 0.000 0.000 0.496
Te: 0.500 0.500 0.754

---

No. 6
Entry from Alexandria: BeAu2Br after structural relaxation (PBE-GGA).

Results
energy above the most stable polymorph in this dataset	29.7	kJ/mol of atoms

a = 3.359 Å, b = 3.359 Å, c = 6.741 Å
α = 90.00°, β = 90.00°, γ = 90.00°
Sites, in units of the cell vectors:
Be: 0.000 0.000 0.395
Au: 0.000 0.000 0.050
Au: 0.500 0.500 0.309
Br: 0.500 0.500 0.746

---

No. 7
Entry from Alexandria: Rb2CaSi after structural relaxation (PBE-GGA).

Results
total energy	-2.096	eV/atom

a = 13.154 Å, b = 13.154 Å, c = 9.730 Å
α = 47.47°, β = 47.47°, γ = 90.00°
Sites, in units of the cell vectors:
Ca: 0.000 0.000 0.000
Ca: 0.750 0.250 0.500
Si: 0.500 0.500 0.000
Si: 0.250 0.750 0.500
Rb: 0.468 0.125 0.250
Rb: 0.282 0.625 0.250
Rb: 0.375 0.532 0.750
Rb: 0.875 0.718 0.750

---

No. 8
Entry from Alexandria: LiMg2Tl5Pb after structural relaxation (PBE-GGA).

Results
ΔE_f	-0.7	kcal/mol of atoms

a = 4.589 Å, b = 7.874 Å, c = 14.014 Å
α = 90.00°, β = 90.00°, γ = 106.94°
Sites, in units of the cell vectors:
Li: 0.757 0.514 0.425
Li: 0.243 0.486 0.925
Mg: 0.922 0.845 0.927
Mg: 0.082 0.163 0.753
Mg: 0.078 0.155 0.427
Mg: 0.918 0.837 0.253
Tl: 0.416 0.832 0.086
Tl: 0.749 0.498 0.766
Tl: 0.413 0.827 0.770
Tl: 0.244 0.487 0.583
Tl: 0.915 0.831 0.594
Tl: 0.584 0.168 0.586
Tl: 0.251 0.502 0.266
Tl: 0.587 0.173 0.270
Tl: 0.756 0.513 0.083
Tl: 0.085 0.169 0.094
Pb: 0.585 0.171 0.918
Pb: 0.415 0.829 0.418

---

Number 1: magnetization 7.908 μB per formula unit. Number 2: magnetization 9.723 μB per formula unit. Number 3: magnetization 0.000 μB per formula unit. Number 4: magnetization 0.000 μB per formula unit. Number 5: magnetization 0.000 μB per formula unit. Number 6: magnetization 0.000 μB per formula unit. Number 7: magnetization 0.000 μB per formula unit. Number 8: magnetization 0.000 μB per formula unit.